NiPRhO2: optimized geometry, GGA+U.

Summary:
Magnetic moment   0.57 μB per formula unit
DOS at the Fermi energy   0.77 states/eV per atom
Energy above the lowest structure with this stoichiometry   0.172 eV/atom
Calculated density   6.057 Mg/m³
SG   P4/mmm (123)

Structure (POSCAR):
```
NiPRhO2
1.0
3.5457 0.0000 0.0000
0.0000 3.5457 0.0000
0.0000 0.0000 4.8968
Rh P O Ni
1 1 2 1
Cartesian
1.7728 1.7728 2.4484
0.0000 0.0000 2.4484
1.7728 0.0000 0.0000
0.0000 1.7728 0.0000
0.0000 0.0000 0.0000
```